# 1
# LaSi2B (PBE, optimized geometry)
data_LaSi2B
_symmetry_space_group_name_H-M 'I -4 2 d'
_symmetry_Int_Tables_number 122
_symmetry_space_group_name_Hall 'I -4 2bw'
_cell_length_a 6.9249
_cell_length_b 6.9249
_cell_length_c 6.0984
_cell_angle_alpha 90.00
_cell_angle_beta 90.00
_cell_angle_gamma 90.00
loop_
_atom_site_label
_atom_site_fract_x
_atom_site_fract_y
_atom_site_fract_z
La1 0.0000 0.0000 0.0000
Si1 0.1416 0.2500 0.6250
B1 0.0000 0.0000 0.5000
# - ΔE_f (raw) (kJ/mol of formula units) = -23
# - energy (eV/atom) = -5.67
# - density of states at the Fermi level (states/eV/cell) = 3.211

=====

# 2
# Nd8Pt3RhCl4 (PBE, optimized geometry)
data_Nd8Pt3RhCl4
_symmetry_space_group_name_H-M 'C 1 2/m 1'
_symmetry_Int_Tables_number 12
_symmetry_space_group_name_Hall '-C 2y'
_cell_length_a 14.4644
_cell_length_b 8.3557
_cell_length_c 8.9015
_cell_angle_alpha 90.00
_cell_angle_beta 122.88
_cell_angle_gamma 90.00
loop_
_atom_site_label
_atom_site_fract_x
_atom_site_fract_y
_atom_site_fract_z
Nd1 0.0129 0.2464 0.2929
Nd2 0.2336 0.0000 0.7071
Nd3 0.2361 0.5000 0.7076
Pt1 0.0000 0.5000 0.5000
Pt2 0.2500 0.2500 0.5000
Rh1 0.0000 0.0000 0.5000
Cl1 0.0000 0.0000 0.0000
Cl2 0.0000 0.5000 0.0000
Cl3 0.2500 0.2500 0.0000
# - ΔE_f (raw) (kJ/mol of formula units) = -2005
# - energy (eV/atom) = -5.74
# - density of states at the Fermi level (states/eV/cell) = 22.497

=====

# 3
# Cu2AgHg (PBE, optimized geometry)
data_Cu2AgHg
_symmetry_space_group_name_H-M 'P 4/m m m'
_symmetry_Int_Tables_number 123
_symmetry_space_group_name_Hall '-P 4 2'
_cell_length_a 4.1980
_cell_length_b 4.1980
_cell_length_c 3.6120
_cell_angle_alpha 90.00
_cell_angle_beta 90.00
_cell_angle_gamma 90.00
loop_
_atom_site_label
_atom_site_fract_x
_atom_site_fract_y
_atom_site_fract_z
Cu1 0.0000 0.5000 0.0000
Ag1 0.0000 0.0000 0.5000
Hg1 0.5000 0.5000 0.5000
# - calculated formation energy (eV/atom) = 0.150
# - energy (eV/atom) = -2.69
# - density of states at the Fermi level (states/eV/cell) = 1.954